Here is a geometry-optimized ZrSc2Al structure from the Alexandria database. Energies are from PBE-GGA.

Properties
* E_tot: -6.325 eV/atom
* density: 3869 kg/m³
* crystal system: trigonal

```
ZrSc2Al
1.0
1.6023 0.9251 10.0435
-1.6023 0.9251 10.0435
0.0000 -1.8502 10.0435
Zr Sc Al
1 2 1
Direct
0.0000 0.0000 0.0000
0.2486 0.2486 0.2486
0.4904 0.4904 0.4904
0.7457 0.7457 0.7457
```